Record 1
Density functional theory data (GGA-PBE) for a relaxed structure of Ca2HgOs.

Summary:
Space group: P4mm, No. 99
Final energy, eV/atom: -3.53
Crystal system: tetragonal
Fermi-level density of states, states/eV/f.u.: 3.52
Total magnetization, μB per cell: 0.0
Formation enthalpy at 0 K, eV per atom: 0.35

Cell: 3.620 3.620 7.929 Å, 90.00 90.00 90.00°
Element x y z (fractional)
Ca: 0.500 0.500 0.325
Ca: 0.000 0.000 0.924
Hg: 0.000 0.000 0.546
Os: 0.500 0.500 0.704

Record 2
Density functional theory data (GGA-PBE) for a relaxed structure of Mg2InGa2.

Summary:
Space group: I4/mmm, No. 139
Final energy, eV/atom: -2.40
Crystal system: tetragonal
Offset from the most stable computed form, eV/atom: 0.082
Fermi-level density of states, states/eV/f.u.: 1.79
Total magnetization, μB per cell: 0.0
Formation enthalpy at 0 K, eV per atom: -0.01

Cell: 4.324 4.324 6.719 Å, 71.23 71.23 90.00°
Element x y z (fractional)
Mg: 0.750 0.250 0.500
Mg: 0.250 0.750 0.500
In: 0.000 0.000 0.000
Ga: 0.398 0.398 0.204
Ga: 0.602 0.602 0.796

Record 3
Density functional theory data (GGA-PBE) for a relaxed structure of TeSe2BrO.

Summary:
Space group: P4/mmm, No. 123
Final energy, eV/atom: -2.34
Crystal system: tetragonal
Offset from the most stable computed form, eV/atom: 0.624
Fermi-level density of states, states/eV/f.u.: 11.73
Total magnetization, μB per cell: 0.8

Cell: 5.403 5.403 5.491 Å, 90.00 90.00 90.00°
Element x y z (fractional)
Se: 0.500 0.000 0.000
Se: 0.000 0.500 0.000
Te: 0.000 0.000 0.000
Br: 0.000 0.000 0.500
O: 0.500 0.500 0.500

Record 4
Density functional theory data (GGA-PBE) for a relaxed structure of CrSb2As.

Summary:
Space group: Immm, No. 71
Final energy, eV/atom: -5.44
Crystal system: orthorhombic
Fermi-level density of states, states/eV/f.u.: 2.41
Total magnetization, μB per cell: 2.6

Cell: 7.305 7.305 7.305 Å, 150.38 151.63 41.48°
Element x y z (fractional)
As: 0.750 0.250 0.500
Cr: 0.250 0.750 0.500
Sb: 0.584 0.584 0.000
Sb: 0.916 0.916 0.000

Record 5
Density functional theory data (GGA-PBE) for a relaxed structure of Pu2TlPd5.

Summary:
Space group: I4mm, No. 107
Final energy, eV/atom: -7.49
Crystal system: tetragonal
Fermi-level density of states, states/eV/f.u.: 29.94
Total magnetization, μB per cell: 10.6
Formation enthalpy at 0 K, eV per atom: -0.37

Cell: 6.494 6.494 5.899 Å, 123.40 123.40 90.00°
Element x y z (fractional)
Pu: 0.735 0.235 0.470
Pu: 0.235 0.735 0.470
Pd: 0.259 0.259 0.951
Pd: 0.692 0.259 0.951
Pd: 0.692 0.692 0.951
Pd: 0.759 0.759 0.518
Pd: 0.259 0.692 0.951
Tl: 0.145 0.145 0.289

Record 6
Density functional theory data (GGA-PBE) for a relaxed structure of InCuSi.

Summary:
Space group: P2_1, No. 4
Final energy, eV/atom: -3.96
Crystal system: monoclinic
Fermi-level density of states, states/eV/f.u.: 0.77
Total magnetization, μB per cell: 0.0

Cell: 5.629 4.524 4.330 Å, 90.01 90.02 88.32°
Element x y z (fractional)
In: 0.018 0.142 0.267
In: 0.114 0.676 0.767
Si: 0.660 0.530 0.474
Si: 0.472 0.288 0.974
Cu: 0.497 0.036 0.479
Cu: 0.636 0.783 0.979